Ac5Tl2In2: relaxed, PBE.

Output
DFT total energy	-3.76	eV/atom
energy relative to the elements	-3.1	eV per formula unit

a = 17.746 Å, b = 8.865 Å, c = 8.662 Å
α = 90.00°, β = 90.00°, γ = 90.00°
Space group Cmce (No. 64)
Symmetry-distinct sites (fractional):
Ac 0.000 0.000 0.000 (multiplicity 4)
Ac 0.139 0.185 0.327 (multiplicity 16)
Tl 0.212 0.000 0.000 (multiplicity 8)
In 0.000 0.119 0.619 (multiplicity 8)

Ac2ZnNi2Pt5: relaxed, PBE.

Output
DFT total energy	-5.80	eV/atom
energy relative to the elements	-6.7	eV per formula unit

a = 9.543 Å, b = 9.543 Å, c = 4.055 Å
α = 90.00°, β = 90.00°, γ = 90.00°
Space group P4/mbm (No. 127)
Symmetry-distinct sites (fractional):
Ac 0.180 0.320 0.000 (multiplicity 4)
Zn 0.000 0.000 0.000 (multiplicity 2)
Ni 0.119 0.619 0.000 (multiplicity 4)
Pt 0.000 0.500 0.500 (multiplicity 2)
Pt 0.061 0.794 0.500 (multiplicity 8)

Pr2PaWN5: relaxed, PBE.

Output
formation energy (no corrections)	-1.195	eV per atom
DFT total energy	-9.38	eV/atom

a = 3.924 Å, b = 3.924 Å, c = 8.654 Å
α = 90.00°, β = 90.00°, γ = 90.00°
Space group P4/mmm (No. 123)
Symmetry-distinct sites (fractional):
Pr 0.000 0.000 0.209 (multiplicity 2)
Pa 0.500 0.500 0.500 (multiplicity 1)
W 0.500 0.500 0.000 (multiplicity 1)
N 0.000 0.000 0.500 (multiplicity 1)
N 0.000 0.500 0.000 (multiplicity 2)
N 0.500 0.500 0.258 (multiplicity 2)

SrZr2Mn: relaxed, PBE.

Output
DFT total energy	-6.34	eV/atom
energy relative to the elements	2.6	eV per formula unit

a = 7.381 Å, b = 7.381 Å, c = 7.381 Å
α = 90.00°, β = 90.00°, γ = 90.00°
Space group F-43m (No. 216)
Symmetry-distinct sites (fractional):
Sr 0.000 0.000 0.000 (multiplicity 4)
Zr 0.000 0.000 0.500 (multiplicity 4)
Zr 0.250 0.250 0.250 (multiplicity 4)
Mn 0.250 0.250 0.750 (multiplicity 4)

Please write out number 4 again, unchanged.
SrZr2Mn: relaxed, PBE.

Output
DFT total energy	-6.34	eV/atom
energy relative to the elements	2.6	eV per formula unit

a = 7.381 Å, b = 7.381 Å, c = 7.381 Å
α = 90.00°, β = 90.00°, γ = 90.00°
Space group F-43m (No. 216)
Symmetry-distinct sites (fractional):
Sr 0.000 0.000 0.000 (multiplicity 4)
Zr 0.000 0.000 0.500 (multiplicity 4)
Zr 0.250 0.250 0.250 (multiplicity 4)
Mn 0.250 0.250 0.750 (multiplicity 4)

> Which formula does entry 3 have?

Pr2PaWN5

Please write out number 4 again, unchanged.
SrZr2Mn: relaxed, PBE.

Output
DFT total energy	-6.34	eV/atom
energy relative to the elements	2.6	eV per formula unit

a = 7.381 Å, b = 7.381 Å, c = 7.381 Å
α = 90.00°, β = 90.00°, γ = 90.00°
Space group F-43m (No. 216)
Symmetry-distinct sites (fractional):
Sr 0.000 0.000 0.000 (multiplicity 4)
Zr 0.000 0.000 0.500 (multiplicity 4)
Zr 0.250 0.250 0.250 (multiplicity 4)
Mn 0.250 0.250 0.750 (multiplicity 4)